Record 1
! Cs2TaBi PBE-GGA optimized geometry; values from VASP
&SYSTEM
  ibrav = 0, nat = 4, ntyp = 3
/
ATOMIC_SPECIES
Cs 132.91 Cs.upf
Ta 180.95 Ta.upf
Bi 208.98 Bi.upf
ATOMIC_POSITIONS crystal
Cs 0.250 0.250 0.250
Cs 0.750 0.750 0.750
Ta 0.000 0.000 0.000
Bi 0.500 0.500 0.500
CELL_PARAMETERS angstrom
0.000 4.439 4.439
4.439 0.000 4.439
4.439 4.439 0.000
! **Total moment**: 3.3 μB per formula unit
! **Space group**: No. 225
! **ΔE to the lowest computed polymorph**: 512.3 meV per atom
! **DFT formation energy**: 530 kJ/mol of formula units
! **Density**: 6.223 g/cm3

Record 2
! Li2CeTl PBE-GGA optimized geometry; values from VASP
&SYSTEM
  ibrav = 0, nat = 4, ntyp = 3
/
ATOMIC_SPECIES
Li 6.94 Li.upf
Ce 140.12 Ce.upf
Tl 204.38 Tl.upf
ATOMIC_POSITIONS crystal
Li 0.250 0.250 0.250
Li 0.750 0.750 0.750
Ce 0.000 0.000 0.000
Tl 0.500 0.500 0.500
CELL_PARAMETERS angstrom
0.000 3.508 3.508
3.508 0.000 3.508
3.508 3.508 0.000
! **Total moment**: 0.9 μB per formula unit
! **Space group**: No. 225
! **ΔE to the lowest computed polymorph**: 0.0 meV per atom
! **DFT formation energy**: -51 kJ/mol of formula units
! **Density**: 6.894 g/cm3

Record 3
! BeMoAs PBE-GGA optimized geometry; values from VASP
&SYSTEM
  ibrav = 0, nat = 3, ntyp = 3
/
ATOMIC_SPECIES
Be 9.01 Be.upf
Mo 95.94 Mo.upf
As 74.92 As.upf
ATOMIC_POSITIONS crystal
Be 0.000 0.000 0.000
Mo 0.632 0.632 0.368
As 0.290 0.290 0.710
CELL_PARAMETERS angstrom
0.000 2.197 6.244
1.726 0.000 6.244
1.726 2.197 0.000
! **Total moment**: 0.0 μB per formula unit
! **Space group**: No. 42
! **ΔE to the lowest computed polymorph**: 494.4 meV per atom
! **DFT formation energy**: 121 kJ/mol of formula units
! **Density**: 6.306 g/cm3

- The lowest ΔE to the lowest computed polymorph belongs to which entry?
  Li2CeTl